# 1
! SrScCu3 | Alexandria | GGA-PBE | optimized geometry; values from VASP
&SYSTEM
  ibrav = 0, nat = 5, ntyp = 3
/
ATOMIC_SPECIES
Sc 44.96 Sc.upf
Cu 63.55 Cu.upf
Sr 87.62 Sr.upf
CELL_PARAMETERS angstrom
-3.8159 0.9817 -3.1589
-3.2094 -2.2665 3.1726
-0.8010 4.4048 2.3365
ATOMIC_POSITIONS crystal
Sc 0.5000 0.5000 0.5000
Cu 0.5000 0.0000 0.0000
Cu 0.0000 0.0000 0.5000
Cu 0.0000 0.5000 0.0000
Sr 0.0000 0.0000 0.0000
! Symmetry: Pm-3m (221)
! DFT formation energy: 1125 meV/atom
! Excess energy over the best structure of this formula in the dataset: 749 meV per atom
! Mass density: 4.17 g/cm³



# 2
! SrSc2Cu | Alexandria | GGA-PBE | optimized geometry; values from VASP
&SYSTEM
  ibrav = 0, nat = 4, ntyp = 3
/
ATOMIC_SPECIES
Sc 44.96 Sc.upf
Sr 87.62 Sr.upf
Cu 63.55 Cu.upf
CELL_PARAMETERS angstrom
0.0000 3.6338 3.6338
3.6338 0.0000 3.6338
3.6338 3.6338 0.0000
ATOMIC_POSITIONS crystal
Sc 0.2500 0.2500 0.2500
Sc 0.7500 0.7500 0.7500
Sr 0.5000 0.5000 0.5000
Cu 0.0000 0.0000 0.0000
! Symmetry: Fm-3m (225)
! DFT formation energy: 416 meV/atom
! Excess energy over the best structure of this formula in the dataset: 360 meV per atom
! Mass density: 4.17 g/cm³